*one*
A plane-wave DFT calculation with GGA-PBE was carried out for a geometry-optimized MgBSb structure.

Output
calculated density	4.29	g/cm³
density of states at the Fermi level	0.17	states/eV/f.u.
space-group type	Cm, No. 8

Lattice parameters (Å, degrees): 6.350 6.350 5.496 91.92 91.92 33.25
Fractional coordinates of all 6 atoms:
Mg1 0.000 0.000 0.000
Mg2 0.705 0.705 0.462
B1 0.533 0.533 0.680
B2 0.636 0.636 0.875
Sb1 0.241 0.241 0.013
Sb2 0.946 0.946 0.494

*two*
A plane-wave DFT calculation with GGA-PBE was carried out for a geometry-optimized MgBSb structure.

Output
calculated density	4.26	g/cm³
density of states at the Fermi level	0.30	states/eV/f.u.
space-group type	P-1, No. 2

Lattice parameters (Å, degrees): 3.747 5.177 6.594 94.10 106.42 90.12
Fractional coordinates of all 6 atoms:
Mg1 0.140 0.229 0.270
Mg2 0.860 0.771 0.730
B1 0.047 0.616 0.093
B2 0.953 0.384 0.907
Sb1 0.364 0.230 0.730
Sb2 0.636 0.770 0.270

The structure with the greatest stability is *two*.

*one*
A plane-wave DFT calculation with GGA-PBE was carried out for a geometry-optimized MgBSb structure.

Output
calculated density	4.37	g/cm³
density of states at the Fermi level	0.37	states/eV/f.u.
space-group type	P-1, No. 2

Lattice parameters (Å, degrees): 3.560 5.821 5.849 90.05 97.86 96.65
Fractional coordinates of all 6 atoms:
Mg1 0.006 0.282 0.217
Mg2 0.994 0.718 0.783
B1 0.452 0.400 0.899
B2 0.548 0.600 0.101
Sb1 0.128 0.784 0.287
Sb2 0.872 0.216 0.713

*two*
A plane-wave DFT calculation with GGA-PBE was carried out for a geometry-optimized MgBSb structure.

Output
calculated density	4.75	g/cm³
density of states at the Fermi level	0.79	states/eV/f.u.
space-group type	P-1, No. 2

Lattice parameters (Å, degrees): 3.204 3.819 9.157 78.11 89.87 89.99
Fractional coordinates of all 6 atoms:
Mg1 0.249 0.430 0.143
Mg2 0.751 0.570 0.857
B1 0.250 0.020 0.961
B2 0.750 0.980 0.039
Sb1 0.252 0.160 0.676
Sb2 0.748 0.840 0.324

The structure with the greatest stability is *two*.

*one*
A plane-wave DFT calculation with GGA-PBE was carried out for a geometry-optimized MgBSb structure.

Output
calculated density	4.53	g/cm³
density of states at the Fermi level	0.80	states/eV/f.u.
space-group type	C2/m, No. 12

Lattice parameters (Å, degrees): 4.567 4.567 8.845 105.00 105.00 40.48
Fractional coordinates of all 6 atoms:
Mg1 0.000 0.000 0.000
Mg2 0.500 0.500 0.500
B1 0.239 0.239 0.532
B2 0.761 0.761 0.468
Sb1 0.224 0.224 0.795
Sb2 0.776 0.776 0.205

*two*
A plane-wave DFT calculation with GGA-PBE was carried out for a geometry-optimized MgBSb structure.

Output
calculated density	4.39	g/cm³
density of states at the Fermi level	0.30	states/eV/f.u.
space-group type	Cm, No. 8

Lattice parameters (Å, degrees): 4.460 4.460 8.781 112.01 112.01 48.17
Fractional coordinates of all 6 atoms:
Mg1 0.000 0.000 0.000
Mg2 0.747 0.747 0.494
B1 0.671 0.671 0.900
B2 0.761 0.761 0.102
Sb1 0.122 0.122 0.725
Sb2 0.367 0.367 0.276

The structure with the greatest stability is *one*.

*one*
A plane-wave DFT calculation with GGA-PBE was carried out for a geometry-optimized MgB3Sb structure.

Output
calculated density	3.55	g/cm³
density of states at the Fermi level	2.46	states/eV/f.u.
space-group type	Pm-3m, No. 221

Lattice parameters (Å, degrees): 4.370 4.370 4.370 90.00 90.00 90.00
Fractional coordinates of all 5 atoms:
Mg1 0.000 0.000 0.000
B1 0.000 0.000 0.500
B2 0.000 0.500 0.000
B3 0.500 0.000 0.000
Sb1 0.500 0.500 0.500

*two*
A plane-wave DFT calculation with GGA-PBE was carried out for a geometry-optimized MgB3Sb structure.

Output
calculated density	3.23	g/cm³
density of states at the Fermi level	2.73	states/eV/f.u.
space-group type	Pm-3m, No. 221

Lattice parameters (Å, degrees): 4.510 4.510 4.510 90.00 90.00 90.00
Fractional coordinates of all 5 atoms:
Mg1 0.000 0.000 0.000
B1 0.000 0.500 0.500
B2 0.500 0.000 0.500
B3 0.500 0.500 0.000
Sb1 0.500 0.500 0.500

The structure with the greatest stability is *two*.